Entry 1:
Computed, not measured: a relaxed structure of Ho2PuZr3N6 at the PBE-GGA level of DFT.

a = 3.342 Å, b = 6.723 Å, c = 7.508 Å
α = 103.50°, β = 102.86°, γ = 90.00°
Sites, in units of the cell vectors:
N1 0.329 0.925 0.659
N2 0.664 0.592 0.328
Zr1 0.168 0.833 0.335
N3 0.997 0.259 0.993
Ho1 0.833 0.666 0.666
N4 0.336 0.408 0.672
Zr2 0.832 0.167 0.665
Pu1 0.500 0.000 0.000
N5 0.671 0.075 0.341
N6 0.003 0.741 0.007
Zr3 0.500 0.500 0.000
Ho2 0.167 0.334 0.334

Entry 2:
Computed, not measured: a relaxed structure of HoPu3Zr2N6 at the PBE-GGA level of DFT.

a = 5.882 Å, b = 5.882 Å, c = 5.886 Å
α = 99.59°, β = 99.59°, γ = 119.95°
Sites, in units of the cell vectors:
N1 0.920 0.577 0.759
N2 0.264 0.264 0.761
N3 0.736 0.736 0.239
Zr1 0.333 0.667 0.000
Pu1 0.500 0.500 0.500
Zr2 0.667 0.333 0.000
Ho1 0.000 0.000 0.000
N4 0.423 0.080 0.241
Pu2 0.834 0.166 0.500
N5 0.577 0.920 0.759
N6 0.080 0.423 0.241
Pu3 0.166 0.834 0.500

Entry 3:
Computed, not measured: a relaxed structure of RbHoN at the PBE-GGA level of DFT.

a = 4.646 Å, b = 7.070 Å, c = 8.455 Å
α = 57.48°, β = 90.00°, γ = 109.18°
Sites, in units of the cell vectors:
Rb1 0.371 0.742 0.444
N1 0.078 0.156 0.793
Ho1 0.887 0.775 0.994
Ho2 0.113 0.225 0.006
Rb2 0.629 0.258 0.556
N2 0.922 0.844 0.207

Entry 4:
Computed, not measured: a relaxed structure of Rb2HoRe2N6 at the PBE-GGA level of DFT.

a = 6.355 Å, b = 6.359 Å, c = 7.326 Å
α = 115.92°, β = 90.00°, γ = 119.98°
Sites, in units of the cell vectors:
N1 0.252 0.504 0.289
N2 0.778 0.028 0.284
N3 0.748 0.496 0.711
Rb1 0.724 0.448 0.176
Rb2 0.276 0.552 0.824
N4 0.222 0.972 0.716
N5 0.250 0.028 0.284
Re1 0.930 0.860 0.786
N6 0.750 0.972 0.716
Re2 0.070 0.140 0.214
Ho1 0.500 0.000 0.500

Entry 5:
Computed, not measured: a relaxed structure of RbHoRe2N6 at the PBE-GGA level of DFT.

a = 6.387 Å, b = 7.851 Å, c = 7.851 Å
α = 89.34°, β = 76.60°, γ = 76.60°
Sites, in units of the cell vectors:
N1 0.134 0.636 0.701
N2 0.626 0.201 0.605
Ho1 0.750 0.706 0.294
N3 0.374 0.799 0.395
N4 0.634 0.701 0.636
N5 0.126 0.605 0.201
N6 0.275 0.282 0.998
Re1 0.165 0.377 0.214
Ho2 0.250 0.294 0.706
N7 0.225 0.002 0.718
Re2 0.835 0.623 0.786
Rb1 0.250 0.911 0.089
Re3 0.335 0.786 0.623
N8 0.866 0.364 0.299
N9 0.775 0.998 0.282
Rb2 0.750 0.089 0.911
N10 0.874 0.395 0.799
N11 0.366 0.299 0.364
Re4 0.665 0.214 0.377
N12 0.725 0.718 0.002

Entry 6:
Computed, not measured: a relaxed structure of RbHoWN3 at the PBE-GGA level of DFT.

a = 3.909 Å, b = 7.019 Å, c = 8.278 Å
α = 103.49°, β = 90.00°, γ = 106.17°
Sites, in units of the cell vectors:
N1 0.838 0.675 0.629
W1 0.991 0.982 0.666
N2 0.162 0.325 0.371
N3 0.514 0.027 0.352
Ho1 0.338 0.675 0.416
N4 0.135 0.269 0.768
Rb1 0.355 0.710 0.933
Rb2 0.645 0.290 0.067
W2 0.009 0.018 0.334
N5 0.486 0.973 0.648
Ho2 0.662 0.325 0.584
N6 0.865 0.731 0.232

Entry 7:
Computed, not measured: a relaxed structure of HoReN4 at the PBE-GGA level of DFT.

a = 4.827 Å, b = 4.827 Å, c = 7.475 Å
α = 90.00°, β = 90.00°, γ = 96.73°
Sites, in units of the cell vectors:
N1 0.740 0.138 0.250
N2 0.138 0.740 0.250
N3 0.715 0.715 0.946
Re1 0.111 0.111 0.250
N4 0.715 0.715 0.554
Re2 0.889 0.889 0.750
N5 0.285 0.285 0.446
N6 0.260 0.862 0.750
N7 0.862 0.260 0.750
Ho1 0.393 0.393 0.750
Ho2 0.607 0.607 0.250
N8 0.285 0.285 0.054

Entry 8:
Computed, not measured: a relaxed structure of HoReN2 at the PBE-GGA level of DFT.

a = 3.146 Å, b = 3.146 Å, c = 6.875 Å
α = 76.78°, β = 76.78°, γ = 60.00°
Sites, in units of the cell vectors:
Ho1 0.000 0.000 0.000
Re1 0.500 0.500 0.500
N1 0.113 0.113 0.660
N2 0.887 0.887 0.340

Entry 9:
Computed, not measured: a relaxed structure of Ho3ReN6 at the PBE-GGA level of DFT.

a = 5.273 Å, b = 7.530 Å, c = 7.530 Å
α = 103.14°, β = 90.00°, γ = 90.00°
Sites, in units of the cell vectors:
N1 0.671 0.583 0.108
N2 0.171 0.417 0.892
N3 0.210 0.670 0.650
Ho1 0.475 0.914 0.702
N4 0.710 0.650 0.670
N5 0.673 0.209 0.791
N6 0.710 0.330 0.350
N7 0.140 0.052 0.948
Ho2 0.975 0.086 0.298
Ho3 0.475 0.298 0.086
Re1 0.020 0.197 0.803
Ho4 0.942 0.604 0.396
N8 0.210 0.350 0.330
N9 0.640 0.948 0.052
Ho5 0.442 0.396 0.604
N10 0.171 0.108 0.583
Re2 0.520 0.803 0.197
N11 0.173 0.791 0.209
Ho6 0.975 0.702 0.914
N12 0.671 0.892 0.417

Entry 10:
Computed, not measured: a relaxed structure of Ho3Re2N6 at the PBE-GGA level of DFT.

a = 3.897 Å, b = 3.897 Å, c = 9.722 Å
α = 101.56°, β = 101.56°, γ = 90.00°
Sites, in units of the cell vectors:
Re1 0.411 0.411 0.821
N1 0.415 0.915 0.830
N2 0.301 0.301 0.601
N3 0.699 0.699 0.399
Ho1 0.000 0.000 0.000
N4 0.915 0.415 0.830
Re2 0.589 0.589 0.179
N5 0.085 0.585 0.170
Ho2 0.816 0.816 0.631
N6 0.585 0.085 0.170
Ho3 0.184 0.184 0.369

Entry 11:
Computed, not measured: a relaxed structure of HoRe2N4 at the PBE-GGA level of DFT.

## Properties
Excess energy over the best structure of this formula in the dataset   0 meV/atom

a = 3.216 Å, b = 5.119 Å, c = 10.070 Å
α = 90.00°, β = 90.00°, γ = 108.31°
Sites, in units of the cell vectors:
Re1 0.887 0.773 0.564
N1 0.761 0.521 0.394
N2 0.500 0.000 0.000
Re2 0.113 0.227 0.436
Ho1 0.371 0.742 0.250
N3 0.500 0.000 0.500
N4 0.239 0.479 0.894
Re3 0.113 0.227 0.064
Re4 0.887 0.773 0.936
Ho2 0.629 0.258 0.750
N5 0.062 0.124 0.250
N6 0.761 0.521 0.106
N7 0.239 0.479 0.606
N8 0.938 0.876 0.750

Entry 12:
Computed, not measured: a relaxed structure of Ho6ReN8 at the PBE-GGA level of DFT.

a = 6.252 Å, b = 6.252 Å, c = 6.252 Å
α = 68.38°, β = 68.38°, γ = 68.38°
Sites, in units of the cell vectors:
N1 0.100 0.835 0.320
Ho1 0.713 0.056 0.483
N2 0.165 0.680 0.900
Ho2 0.517 0.287 0.944
N3 0.835 0.320 0.100
Ho3 0.944 0.517 0.287
N4 0.320 0.100 0.835
Ho4 0.287 0.944 0.517
Ho5 0.056 0.483 0.713
N5 0.669 0.669 0.669
N6 0.900 0.165 0.680
N7 0.331 0.331 0.331
N8 0.680 0.900 0.165
Ho6 0.483 0.713 0.056
Re1 0.000 0.000 0.000

What raw formation energy values result from the calculations? In sequence: -1.6744 -1.5087 -0.2933 -0.3615 -0.3529 -0.6058 -0.0599 0.1084 -0.8597 -0.8867 -0.4278 -1.1054 eV/atom.